# 1
{"formula": "Tl2TcBiO6", "functional": "PBE", "state": "optimized geometry", "dft_energy_ev_per_atom": -5.83, "raw_formation_energy_ev_per_atom": -0.96, "lattice": [[6.476, 0.000, 0.000], [-3.238, 5.608, 0.000], [0.000, 0.000, 5.949]], "species": ["Tl", "Tl", "Tc", "Bi", "O", "O", "O", "O", "O", "O"], "frac_coords": [[0.333, 0.667, 0.467], [0.667, 0.333, 0.533], [0.000, 0.000, 0.500], [0.000, 0.000, 0.000], [0.137, 0.273, 0.696], [0.137, 0.863, 0.696], [0.273, 0.137, 0.304], [0.727, 0.863, 0.696], [0.863, 0.137, 0.304], [0.863, 0.727, 0.304]]}

***

# 2
{"formula": "Tl2TcBi2O6", "functional": "PBE", "state": "optimized geometry", "dos_ef_per_ev_atom": 0.175, "dft_energy_ev_per_atom": -5.78, "raw_formation_energy_ev_per_atom": -0.99, "lattice": [[3.061, -5.093, 0.000], [3.061, 5.093, 0.000], [-1.726, 0.000, 6.579]], "species": ["Tl", "Tl", "Tc", "Bi", "Bi", "O", "O", "O", "O", "O", "O"], "frac_coords": [[0.165, 0.835, 0.000], [0.835, 0.165, 0.000], [0.000, 0.000, 0.500], [0.335, 0.665, 0.500], [0.665, 0.335, 0.500], [0.038, 0.343, 0.659], [0.212, 0.212, 0.309], [0.343, 0.038, 0.659], [0.657, 0.962, 0.341], [0.788, 0.788, 0.691], [0.962, 0.657, 0.341]]}

***

# 3
{"formula": "TlTcBi2O8", "functional": "PBE", "state": "optimized geometry", "dos_ef_per_ev_atom": 0.235, "dft_energy_ev_per_atom": -6.07, "raw_formation_energy_ev_per_atom": -1.05, "lattice": [[5.023, 0.000, 0.000], [0.000, 7.133, 0.000], [-0.164, 0.000, 5.026]], "species": ["Tl", "Tc", "Bi", "Bi", "O", "O", "O", "O", "O", "O", "O", "O"], "frac_coords": [[0.000, 0.000, 0.000], [0.000, 0.500, 0.000], [0.500, 0.258, 0.500], [0.500, 0.742, 0.500], [0.181, 0.302, 0.822], [0.181, 0.698, 0.822], [0.273, 0.500, 0.276], [0.299, 0.000, 0.301], [0.701, 0.000, 0.699], [0.727, 0.500, 0.724], [0.819, 0.302, 0.178], [0.819, 0.698, 0.178]]}

***

Repeat the first record exactly.
{"formula": "Tl2TcBiO6", "functional": "PBE", "state": "optimized geometry", "dft_energy_ev_per_atom": -5.83, "raw_formation_energy_ev_per_atom": -0.96, "lattice": [[6.476, 0.000, 0.000], [-3.238, 5.608, 0.000], [0.000, 0.000, 5.949]], "species": ["Tl", "Tl", "Tc", "Bi", "O", "O", "O", "O", "O", "O"], "frac_coords": [[0.333, 0.667, 0.467], [0.667, 0.333, 0.533], [0.000, 0.000, 0.500], [0.000, 0.000, 0.000], [0.137, 0.273, 0.696], [0.137, 0.863, 0.696], [0.273, 0.137, 0.304], [0.727, 0.863, 0.696], [0.863, 0.137, 0.304], [0.863, 0.727, 0.304]]}